(1)
BaPm2Ge6 after structural relaxation. Source: Alexandria via LeMat-Bulk, functional PBE.

Unit cell a=4.227 b=8.035 c=8.035 alpha=68.03 beta=74.75 gamma=74.75
Fractional positions:
Ba1 0.000 0.000 0.000
Pm1 0.853 0.647 0.647
Pm2 0.147 0.353 0.353
Ge1 0.686 0.050 0.578
Ge2 0.314 0.950 0.422
Ge3 0.314 0.422 0.950
Ge4 0.500 0.658 0.342
Ge5 0.500 0.342 0.658
Ge6 0.686 0.578 0.050

## Properties
energy relative to the elements: -4.4 eV per formula unit
symmetry: Immm (71)

***

(2)
NaPr2SmS4 after structural relaxation. Source: Alexandria via LeMat-Bulk, functional PBE.

Unit cell a=4.065 b=7.057 c=7.054 alpha=109.28 beta=90.00 gamma=90.00
Fractional positions:
Na1 0.500 0.500 0.000
Pr1 0.500 0.000 0.500
Pr2 0.000 0.500 0.500
Sm1 0.000 0.000 0.000
S1 0.500 0.247 0.242
S2 0.500 0.753 0.758
S3 0.000 0.248 0.753
S4 0.000 0.752 0.247

## Properties
formation energy without anion corrections: -1.91 eV/atom
symmetry: P2/m (10)

***

(3)
AsBr2Cl after structural relaxation. Source: Alexandria via LeMat-Bulk, functional PBE.

Unit cell a=4.666 b=5.778 c=7.289 alpha=91.73 beta=71.48 gamma=100.13
Fractional positions:
As1 0.119 0.951 0.000
Br1 0.316 0.984 0.266
Br2 0.584 0.000 0.733
Cl1 0.981 0.565 0.000

## Properties
formation energy without anion corrections: -0.53 eV/atom
relative energy among the computed polymorphs: 0.0000 eV per atom
symmetry: P1 (1)

***

(4)
Zr3RuO after structural relaxation. Source: Alexandria via LeMat-Bulk, functional PBE.

Unit cell a=4.992 b=4.992 c=4.992 alpha=90.00 beta=90.00 gamma=90.00
Fractional positions:
Ru1 0.000 0.000 0.000
O1 0.500 0.500 0.500
Zr1 0.000 0.500 0.000
Zr2 0.000 0.000 0.500
Zr3 0.500 0.000 0.000

## Properties
formation energy without anion corrections: 0.62 eV/atom
symmetry: Pm-3m (221)

***

(5)
Tb12Dy2Y after structural relaxation. Source: Alexandria via LeMat-Bulk, functional PBE.

Unit cell a=6.639 b=6.639 c=24.918 alpha=96.60 beta=96.60 gamma=115.11
Fractional positions:
Tb1 0.608 0.590 0.799
Tb2 0.090 0.108 0.799
Tb3 0.944 0.944 0.926
Tb4 0.393 0.893 0.858
Tb5 0.000 0.993 0.330
Tb6 0.107 0.607 0.142
Tb7 0.681 0.181 0.575
Tb8 0.493 0.500 0.330
Tb9 0.444 0.444 0.926
Tb10 0.556 0.556 0.074
Tb11 0.167 0.169 0.556
Tb12 0.819 0.319 0.425
Tb13 0.007 0.000 0.670
Tb14 0.333 0.331 0.444
Tb15 0.056 0.056 0.074
Tb16 0.831 0.833 0.444
Tb17 0.669 0.667 0.556
Tb18 0.892 0.910 0.201
Tb19 0.183 0.683 0.574
Tb20 0.500 0.507 0.670
Tb21 0.901 0.401 0.868
Tb22 0.410 0.392 0.201
Tb23 0.317 0.817 0.426
Tb24 0.599 0.099 0.132
Dy1 0.458 0.958 0.272
Dy2 0.950 0.450 0.272
Dy3 0.042 0.542 0.728
Dy4 0.550 0.050 0.728
Y1 0.497 0.997 0.996
Y2 0.003 0.503 0.004

## Properties
energy relative to the elements: 1.7 eV per formula unit
symmetry: C2/m (12)

***

(6)
ZnCd2As after structural relaxation. Source: Alexandria via LeMat-Bulk, functional PBE.

Unit cell a=4.963 b=4.963 c=6.649 alpha=66.73 beta=66.73 gamma=36.35
Fractional positions:
As1 0.812 0.812 0.781
Cd1 0.021 0.021 0.991
Cd2 0.217 0.217 0.296
Zn1 0.450 0.450 0.432

## Properties
relative energy among the computed polymorphs: 0.0157 eV per atom
energy relative to the elements: 0.4 eV per formula unit
symmetry: Cm (8)

***

(7)
Cs2TlCd2Au2 after structural relaxation. Source: Alexandria via LeMat-Bulk, functional PBE.

Unit cell a=4.892 b=7.887 c=7.506 alpha=89.51 beta=70.98 gamma=71.93
Fractional positions:
Cs1 0.572 0.246 0.610
Cs2 0.428 0.754 0.390
Tl1 0.000 0.000 0.000
Cd1 0.292 0.258 0.158
Cd2 0.708 0.742 0.842
Au1 0.206 0.601 0.988
Au2 0.794 0.399 0.012

## Properties
energy relative to the elements: -1.2 eV per formula unit
symmetry: C2/m (12)

***

(8)
Li3GaRh after structural relaxation. Source: Alexandria via LeMat-Bulk, functional PBE.

Unit cell a=5.895 b=5.895 c=7.171 alpha=108.36 beta=135.65 gamma=75.33
Fractional positions:
Li1 0.774 0.917 0.201
Li2 0.283 0.427 0.201
Li3 0.717 0.573 0.799
Li4 0.755 0.485 0.240
Li5 0.226 0.083 0.799
Li6 0.245 0.515 0.760
Ga1 0.750 0.839 0.589
Ga2 0.250 0.161 0.411
Rh1 0.740 0.166 0.906
Rh2 0.260 0.834 0.094

## Properties
relative energy among the computed polymorphs: 0.0000 eV per atom
energy relative to the elements: -1.2 eV per formula unit
symmetry: C2/m (12)

***

Number 1: total magnetization 0.00 μB/atom. Number 2: total magnetization 0.00 μB/atom. Number 3: total magnetization 0.00 μB/atom. Number 4: total magnetization 0.00 μB/atom. Number 5: total magnetization 0.00 μB/atom. Number 6: total magnetization 0.00 μB/atom. Number 7: total magnetization 0.00 μB/atom. Number 8: total magnetization 0.00 μB/atom.